Compound: Cs2Tl2SeO4
Source: Alexandria
Functional: PBE
Structure: optimized geometry

Computed properties:
Formation energy without anion corrections ... -0.54 eV per atom
ρ ... 6.803 g/cm³
Spin magnetization ... 0.0 μB/f.u.

Lattice parameters (Å, degrees): 6.467 6.467 6.467 116.74 116.74 95.75
Positions (direct):
Cs 0.250 0.750 0.500
Cs 0.750 0.250 0.500
Tl 0.165 0.165 0.000
Tl 0.835 0.835 0.000
Se 0.500 0.500 0.000
O 0.302 0.302 0.604
O 0.302 0.698 0.000
O 0.698 0.302 0.000
O 0.698 0.698 0.396